[1]
Compound: SrAlTcGe2
Source: the Alexandria database
Functional: PBE-GGA
Structure: optimized geometry

Cell lengths 4.8669, 4.8669, 4.8237 Å; angles 90.00, 90.00, 90.00 degrees
Last column: nearest neighbours and their distance in Å.
Positions (direct):
Sr  0.0000  0.0000  0.0000  8 Ge 3.43, 4 Al 3.44
Al  0.5000  0.5000  0.0000  2 Tc 2.41
Tc  0.5000  0.5000  0.5000  2 Al 2.41, 4 Ge 2.43
Ge  0.0000  0.5000  0.5000  2 Tc 2.43
Ge  0.5000  0.0000  0.5000  2 Tc 2.43

Computed properties:
* formation energy from the elements: -0.165 eV per atom
* magnetization: 0.0 μB per formula unit
* density: 5.20 Mg/m³

[2]
Compound: SrAl2TcGe
Source: the Alexandria database
Functional: PBE-GGA
Structure: optimized geometry

Cell lengths 4.8302, 4.8302, 4.8189 Å; angles 90.00, 90.00, 90.00 degrees
Last column: nearest neighbours and their distance in Å.
Positions (direct):
Sr  0.0000  0.0000  0.0000  8 Al 3.41, 4 Ge 3.42
Al  0.0000  0.5000  0.5000  2 Tc 2.42
Al  0.5000  0.0000  0.5000  2 Tc 2.42
Tc  0.5000  0.5000  0.5000  2 Ge 2.41, 4 Al 2.42
Ge  0.5000  0.5000  0.0000  2 Tc 2.41

Computed properties:
* formation energy from the elements: -0.259 eV per atom
* magnetization: 0.0 μB per formula unit
* density: 4.61 Mg/m³

[3]
Compound: Sr2AlGeTe
Source: the Alexandria database
Functional: PBE-GGA
Structure: optimized geometry

Cell lengths 6.0658, 6.0658, 4.7219 Å; angles 90.00, 90.00, 90.00 degrees
Last column: nearest neighbours and their distance in Å.
Positions (direct):
Sr  0.0000  0.5000  0.0000  2 Ge 3.03
Sr  0.5000  0.0000  0.0000  2 Ge 3.03
Al  0.0000  0.0000  0.5000  2 Ge 2.36
Ge  0.0000  0.0000  0.0000  2 Al 2.36
Te  0.5000  0.5000  0.5000  8 Sr 3.84, 4 Al 4.29

Computed properties:
* formation energy without anion corrections: -2.763 eV/f.u.
* magnetization: 0.0 μB per formula unit
* density: 3.85 Mg/m³

[4]
Compound: SrAl2GeW
Source: the Alexandria database
Functional: PBE-GGA
Structure: optimized geometry

Cell lengths 5.5016, 5.5016, 5.1127 Å; angles 90.00, 90.00, 90.00 degrees
Last column: nearest neighbours and their distance in Å.
Positions (direct):
Sr  0.0000  0.0000  0.0000  2 W 2.56, 4 Al 2.75
Al  0.0000  0.5000  0.0000  2 Sr 2.75
Al  0.5000  0.0000  0.0000  2 Sr 2.75
Ge  0.5000  0.5000  0.5000  8 Al 3.76, 4 W 3.89
W  0.0000  0.0000  0.5000  2 Sr 2.56

Computed properties:
* formation energy from the elements: 2.392 eV per atom
* magnetization: 2.0 μB per formula unit
* density: 4.27 Mg/m³

[5]
Compound: SrAlGe2W
Source: the Alexandria database
Functional: PBE-GGA
Structure: optimized geometry

Cell lengths 4.9560, 4.9560, 5.6778 Å; angles 90.00, 90.00, 90.00 degrees
Last column: nearest neighbours and their distance in Å.
Positions (direct):
Sr  0.0000  0.0000  0.0000  2 W 2.84
Al  0.5000  0.5000  0.0000  4 Sr 3.50, 8 Ge 3.77
Ge  0.0000  0.5000  0.5000  2 W 2.48
Ge  0.5000  0.0000  0.5000  2 W 2.48
W  0.0000  0.0000  0.5000  4 Ge 2.48

Computed properties:
* formation energy from the elements: 0.665 eV per atom
* magnetization: 0.0 μB per formula unit
* density: 5.28 Mg/m³

[6]
Compound: Sr2Al4Zn3Ge
Source: the Alexandria database
Functional: PBE-GGA
Structure: optimized geometry

Cell lengths 4.3711, 4.3711, 11.0777 Å; angles 90.00, 90.00, 90.00 degrees
Last column: nearest neighbours and their distance in Å.
Positions (direct):
Sr  0.0000  0.5000  0.2476  8 Al 3.34-3.55, 6 Zn 3.35-3.51, 2 Ge 3.51
Sr  0.5000  0.0000  0.7524  8 Al 3.34-3.55, 6 Zn 3.35-3.51, 2 Ge 3.51
Al  0.0000  0.0000  0.5000  4 Zn 2.65
Al  0.0000  0.5000  0.8668  3 Zn 2.56-2.64, 2 Ge 2.64
Al  0.5000  0.0000  0.1332  3 Zn 2.56-2.64, 2 Ge 2.64
Al  0.5000  0.5000  0.5000  4 Zn 2.65
Zn  0.0000  0.0000  0.0000  4 Al 2.64
Zn  0.0000  0.5000  0.6357  5 Al 2.56-2.65
Zn  0.5000  0.0000  0.3643  5 Al 2.56-2.65
Ge  0.5000  0.5000  0.0000  4 Al 2.64

Computed properties:
* formation energy from the elements: -0.280 eV per atom
* magnetization: 0.0 μB per formula unit
* density: 4.33 Mg/m³

[7]
Compound: Ta4AlGe
Source: the Alexandria database
Functional: PBE-GGA
Structure: optimized geometry

Cell lengths 6.2974, 6.2974, 5.1982 Å; angles 90.00, 90.00, 90.00 degrees
Last column: nearest neighbours and their distance in Å.
Positions (direct):
Ta  0.1561  0.3399  0.0000  2 Ge 2.69, 2 Al 2.72, 1 Ta 2.82
Ta  0.1561  0.6601  0.5000  2 Ge 2.69, 2 Al 2.72, 1 Ta 2.82
Ta  0.3399  0.1561  0.5000  2 Ge 2.69, 2 Al 2.72, 1 Ta 2.82
Ta  0.3399  0.8439  0.0000  2 Ge 2.69, 2 Al 2.72, 1 Ta 2.82
Ta  0.6601  0.1561  0.0000  2 Ge 2.69, 2 Al 2.72, 1 Ta 2.82
Ta  0.6601  0.8439  0.5000  2 Ge 2.69, 2 Al 2.72, 1 Ta 2.82
Ta  0.8439  0.3399  0.5000  2 Ge 2.69, 2 Al 2.72, 1 Ta 2.82
Ta  0.8439  0.6601  0.0000  2 Ge 2.69, 2 Al 2.72, 1 Ta 2.82
Al  0.5000  0.5000  0.2500  2 Al 2.60, 8 Ta 2.72
Al  0.5000  0.5000  0.7500  2 Al 2.60, 8 Ta 2.72
Ge  0.0000  0.0000  0.2500  2 Ge 2.60, 8 Ta 2.69
Ge  0.0000  0.0000  0.7500  2 Ge 2.60, 8 Ta 2.69

Computed properties:
* polymorph energy (0 for the lowest one): 0.000 eV per atom
* formation energy from the elements: -0.234 eV per atom
* magnetization: 0.0 μB per formula unit
* density: 13.27 Mg/m³

[8]
Compound: TaAlGe
Source: the Alexandria database
Functional: PBE-GGA
Structure: optimized geometry

Cell lengths 2.8948, 6.5065, 5.6995 Å; angles 90.00, 90.00, 90.00 degrees
Last column: nearest neighbours and their distance in Å.
Positions (direct):
Ta  0.0753  0.0000  0.0000  4 Ge 2.72-2.94, 4 Al 2.76-2.98, 4 Ta 2.88-2.89
Ta  0.9247  0.0000  0.5000  4 Ge 2.72-2.94, 4 Al 2.76-2.98, 4 Ta 2.88-2.89
Al  0.5000  0.3099  0.2500  1 Ge 2.52, 2 Ta 2.76
Al  0.5000  0.6901  0.7500  1 Ge 2.52, 2 Ta 2.76
Ge  0.5000  0.3021  0.7500  1 Al 2.52, 2 Ta 2.72
Ge  0.5000  0.6979  0.2500  1 Al 2.52, 2 Ta 2.72

Computed properties:
* formation energy from the elements: -0.159 eV per atom
* magnetization: 0.0 μB per formula unit
* density: 8.68 Mg/m³

[9]
Compound: Ta2AlGe
Source: the Alexandria database
Functional: PBE-GGA
Structure: optimized geometry

Cell lengths 7.1476, 7.1476, 5.6629 Å; angles 90.00, 90.00, 90.00 degrees
Last column: nearest neighbours and their distance in Å.
Positions (direct):
Ta  0.2389  0.2500  0.1250  2 Ge 2.57, 2 Al 2.68, 2 Ta 2.84
Ta  0.2500  0.7389  0.3750  2 Ge 2.57, 2 Al 2.68, 2 Ta 2.84
Ta  0.2500  0.7611  0.8750  2 Ge 2.57, 2 Al 2.68, 2 Ta 2.84
Ta  0.2611  0.2500  0.6250  2 Ge 2.57, 2 Al 2.68, 2 Ta 2.84
Ta  0.7389  0.7500  0.6250  2 Ge 2.57, 2 Al 2.68, 2 Ta 2.84
Ta  0.7500  0.2389  0.8750  2 Ge 2.57, 2 Al 2.68, 2 Ta 2.84
Ta  0.7500  0.2611  0.3750  2 Ge 2.57, 2 Al 2.68, 2 Ta 2.84
Ta  0.7611  0.7500  0.1250  2 Ge 2.57, 2 Al 2.68, 2 Ta 2.84
Al  0.0000  0.0000  0.5000  4 Ta 2.68, 2 Ge 2.83
Al  0.0000  0.5000  0.7500  4 Ta 2.68, 2 Ge 2.83
Al  0.5000  0.0000  0.2500  4 Ta 2.68, 2 Ge 2.83
Al  0.5000  0.5000  0.0000  4 Ta 2.68, 2 Ge 2.83
Ge  0.0000  0.0000  0.0000  4 Ta 2.57, 2 Al 2.83
Ge  0.0000  0.5000  0.2500  4 Ta 2.57, 2 Al 2.83
Ge  0.5000  0.0000  0.7500  4 Ta 2.57, 2 Al 2.83
Ge  0.5000  0.5000  0.5000  4 Ta 2.57, 2 Al 2.83

Computed properties:
* formation energy from the elements: 0.256 eV per atom
* magnetization: 0.0 μB per formula unit
* density: 10.60 Mg/m³

[10]
Compound: Ta2AlGe
Source: the Alexandria database
Functional: PBE-GGA
Structure: optimized geometry

Cell lengths 3.6056, 3.6056, 19.4919 Å; angles 90.00, 90.00, 120.00 degrees
Last column: nearest neighbours and their distance in Å.
Positions (direct):
Ta  0.0000  0.0000  0.2467  3 Ge 2.60, 3 Al 2.68
Ta  0.0000  0.0000  0.7533  3 Ge 2.60, 3 Al 2.68
Ta  0.3333  0.6667  0.4199  3 Ge 2.60, 3 Al 2.68
Ta  0.3333  0.6667  0.9134  3 Ge 2.60, 3 Al 2.68
Ta  0.6667  0.3333  0.0866  3 Ge 2.60, 3 Al 2.68
Ta  0.6667  0.3333  0.5801  3 Ge 2.60, 3 Al 2.68
Al  0.0000  0.0000  0.0000  6 Ta 2.68
Al  0.3333  0.6667  0.6667  6 Ta 2.68
Al  0.6667  0.3333  0.3333  6 Ta 2.68
Ge  0.0000  0.0000  0.5000  6 Ta 2.60
Ge  0.3333  0.6667  0.1667  6 Ta 2.60
Ge  0.6667  0.3333  0.8333  6 Ta 2.60

Computed properties:
* formation energy from the elements: 0.281 eV per atom
* magnetization: 0.0 μB per formula unit
* density: 10.48 Mg/m³

[11]
Compound: TaAlGe
Source: the Alexandria database
Functional: PBE-GGA
Structure: optimized geometry

Cell lengths 6.1246, 6.1246, 6.1246 Å; angles 90.00, 90.00, 90.00 degrees
Last column: nearest neighbours and their distance in Å.
Positions (direct):
Ta  0.1998  0.3002  0.6998  4 Al 2.67-2.79, 4 Ge 2.70-2.82
Ta  0.3002  0.6998  0.1998  4 Al 2.67-2.79, 4 Ge 2.70-2.82
Ta  0.6998  0.1998  0.3002  4 Al 2.67-2.79, 4 Ge 2.70-2.82
Ta  0.8002  0.8002  0.8002  4 Al 2.67-2.79, 4 Ge 2.70-2.82
Al  0.0514  0.0514  0.0514  3 Ge 2.59, 4 Ta 2.67-2.79
Al  0.4486  0.9486  0.5514  3 Ge 2.59, 4 Ta 2.67-2.79
Al  0.5514  0.4486  0.9486  3 Ge 2.59, 4 Ta 2.67-2.79
Al  0.9486  0.5514  0.4486  3 Ge 2.59, 4 Ta 2.67-2.79
Ge  0.0343  0.9657  0.4657  3 Al 2.59, 4 Ta 2.70-2.82
Ge  0.4657  0.0343  0.9657  3 Al 2.59, 4 Ta 2.70-2.82
Ge  0.5343  0.5343  0.5343  3 Al 2.59, 4 Ta 2.70-2.82
Ge  0.9657  0.4657  0.0343  3 Al 2.59, 4 Ta 2.70-2.82

Computed properties:
* formation energy from the elements: 0.287 eV per atom
* magnetization: 0.0 μB per formula unit
* density: 8.11 Mg/m³

[12]
Compound: Ta2AlGe
Source: the Alexandria database
Functional: PBE-GGA
Structure: optimized geometry

Cell lengths 2.9786, 2.9786, 8.9056 Å; angles 90.00, 90.00, 120.00 degrees
Last column: nearest neighbours and their distance in Å.
Positions (direct):
Ta  0.0000  0.0000  0.2455  3 Ge 2.78, 3 Al 2.84, 6 Ta 2.98
Ta  0.0000  0.0000  0.7545  3 Ge 2.78, 3 Al 2.84, 6 Ta 2.98
Al  0.6667  0.3333  0.5000  6 Ta 2.84, 6 Al 2.98
Ge  0.3333  0.6667  0.0000  6 Ta 2.78, 6 Ge 2.98

Computed properties:
* formation energy from the elements: -0.170 eV per atom
* magnetization: 0.0 μB per formula unit
* density: 11.20 Mg/m³